{
  "formula": "Si3C",
  "functional": "PBE-GGA",
  "state": "relaxed",
  "space_group": "I4/mmm",
  "raw_formation_energy_ev_per_fu": 4.35,
  "magmom_total_mub_per_fu": 0.0,
  "relative_energy_mev_per_atom": 910,
  "lattice": [[-5.408, 0.605, 9.402], [-8.913, -0.789, 6.159], [7.688, -2.295, -7.324]],
  "species": ["Si", "Si", "Si", "Si", "Si", "Si", "C", "C"],
  "frac_coords": [[0.000, 0.500, 0.500], [0.500, 0.000, 0.500], [0.250, 0.750, 0.500], [0.750, 0.250, 0.500], [0.166, 0.166, 0.000], [0.834, 0.834, 0.000], [0.452, 0.452, 0.000], [0.548, 0.548, 0.000]]
}